# 1
A plane-wave DFT calculation with PBE was carried out for a relaxed structure of Nd2Ge3Pd6.

Calculated values
Volume = 19.21 A^3/atom
Symmetry = No. 189
DFT formation energy = -8.10 eV/f.u.

Lattice parameters (Å, degrees): 4.3882 7.4567 7.4567 120.00 90.00 90.00
With the nearest neighbours (Å) after each atom.
Atoms (fractional coordinates):
Ge1 0.5000 0.6276 0.0000  5 Pd 2.47-2.54
Ge2 0.5000 0.3724 0.3724  5 Pd 2.47-2.54
Pd1 0.0000 0.7882 0.0000  2 Ge 2.50, 2 Pd 2.74
Pd2 0.5000 0.7041 0.7041  3 Ge 2.47-2.54
Pd3 0.0000 0.0000 0.7882  2 Ge 2.50, 2 Pd 2.74
Pd4 0.5000 0.2959 0.0000  3 Ge 2.47-2.54
Ge3 0.5000 0.0000 0.6276  5 Pd 2.47-2.54
Nd1 0.0000 0.6667 0.3333  3 Pd 3.04, 6 Ge 3.22
Pd5 0.5000 0.0000 0.2959  3 Ge 2.47-2.54
Pd6 0.0000 0.2118 0.2118  2 Ge 2.50, 2 Pd 2.74
Nd2 0.0000 0.3333 0.6667  3 Pd 3.04, 6 Ge 3.22

=====

# 2
A plane-wave DFT calculation with PBE was carried out for a relaxed structure of Nd2Ge5Pd3.

Calculated values
Volume = 19.45 A^3/atom
Symmetry = No. 72
DFT formation energy = -7.52 eV/f.u.

Lattice parameters (Å, degrees): 6.2263 8.5469 8.5469 73.95 68.64 68.64
With the nearest neighbours (Å) after each atom.
Atoms (fractional coordinates):
Ge1 0.3936 0.2620 0.9508  3 Pd 2.45-2.58, 2 Ge 2.66
Nd1 0.3701 0.8613 0.3984  10 Ge 3.10-3.38, 3 Pd 3.24-3.36
Pd1 0.7500 0.0000 0.0000  6 Ge 2.58-2.74
Nd2 0.8701 0.3984 0.8613  10 Ge 3.10-3.38, 3 Pd 3.24-3.36
Nd3 0.6299 0.1387 0.6016  10 Ge 3.10-3.38, 3 Pd 3.24-3.36
Pd2 0.2500 0.0000 0.0000  6 Ge 2.58-2.74
Ge2 0.6064 0.7380 0.0492  3 Pd 2.45-2.58, 2 Ge 2.66
Ge3 0.7500 0.5000 0.5000  4 Pd 2.57
Ge4 0.0245 0.2255 0.2255  3 Pd 2.52-2.74, 2 Ge 2.66
Pd3 0.8598 0.7500 0.5305  5 Ge 2.45-2.57
Pd4 0.3598 0.5305 0.7500  5 Ge 2.45-2.57
Pd5 0.1402 0.2500 0.4695  5 Ge 2.45-2.57
Pd6 0.6402 0.4695 0.2500  5 Ge 2.45-2.57
Ge5 0.9755 0.7745 0.7745  3 Pd 2.52-2.74, 2 Ge 2.66
Ge6 0.1064 0.0492 0.7380  3 Pd 2.45-2.58, 2 Ge 2.66
Ge7 0.5245 0.2255 0.2255  3 Pd 2.52-2.74, 2 Ge 2.66
Ge8 0.4755 0.7745 0.7745  3 Pd 2.52-2.74, 2 Ge 2.66
Nd4 0.1299 0.6016 0.1387  10 Ge 3.10-3.38, 3 Pd 3.24-3.36
Ge9 0.8936 0.9508 0.2620  3 Pd 2.45-2.58, 2 Ge 2.66
Ge10 0.2500 0.5000 0.5000  4 Pd 2.57

=====

Number 1: DFT total energy -5.6954 eV per atom, density 9.00 g cm⁻³. Number 2: DFT total energy -5.5722 eV per atom, density 8.29 g cm⁻³.